Record 1
First-principles (PBE) data for a geometry-optimized Pu3Cd4Pd4 structure, as listed in Alexandria via LeMat-Bulk.

volume = 21.64 A^3/atom
DFT formation energy = -3.0 eV/f.u.

a = 4.6800 Å, b = 6.1053 Å, c = 9.0176 Å
α = 90.00°, β = 90.00°, γ = 112.54°
Site moments in Bohr magnetons follow the coordinates.
Atoms (fractional coordinates):
Pu 0.3909 0.7817 0.3039  5.43
Pu 0.3909 0.7817 0.6961  5.43
Pu 0.2732 0.5463 0.0000  5.35
Cd 0.6550 0.3099 0.5000  0.00
Cd 0.5677 0.1355 0.0000  0.01
Cd 0.0899 0.1798 0.7282  0.01
Cd 0.0899 0.1798 0.2718  0.01
Pd 0.7459 0.4917 0.7816  -0.01
Pd 0.7459 0.4917 0.2184  -0.01
Pd 0.9147 0.8295 0.5000  -0.03
Pd 0.9347 0.8695 0.0000  0.01

Record 2
First-principles (PBE) data for a geometry-optimized PuCd9Pd2 structure, as listed in Alexandria via LeMat-Bulk.

volume = 21.74 A^3/atom
DFT formation energy = -1.9 eV/f.u.

a = 7.6030 Å, b = 9.1146 Å, c = 9.1146 Å
α = 79.98°, β = 65.35°, γ = 65.35°
Site moments in Bohr magnetons follow the coordinates.
Atoms (fractional coordinates):
Pu 0.5000 0.0000 0.0000  5.60
Pu 0.2500 0.5000 0.5000  5.60
Cd 0.7500 0.5000 0.5000  0.00
Cd 0.0000 0.0000 0.0000  0.00
Cd 0.0042 0.9207 0.6796  0.00
Cd 0.6045 0.0793 0.3204  0.00
Cd 0.6750 0.1796 0.5793  0.00
Cd 0.4338 0.8204 0.4207  0.00
Cd 0.7458 0.8204 0.5793  0.00
Cd 0.1455 0.1796 0.4207  0.00
Cd 0.0750 0.9207 0.3204  0.00
Cd 0.3162 0.0793 0.6796  0.00
Cd 0.7458 0.5793 0.8204  0.00
Cd 0.1455 0.4207 0.1796  0.00
Cd 0.0750 0.3204 0.9207  0.00
Cd 0.3162 0.6796 0.0793  0.00
Cd 0.0042 0.6796 0.9207  0.00
Cd 0.6045 0.3204 0.0793  0.00
Cd 0.6750 0.5793 0.1796  0.00
Cd 0.4338 0.4207 0.8204  0.00
Pd 0.8750 0.2500 0.7500  0.00
Pd 0.8750 0.7500 0.2500  0.00
Pd 0.8750 0.2500 0.2500  0.00
Pd 0.3750 0.7500 0.7500  0.00

Record 3
First-principles (PBE) data for a geometry-optimized PuCd2Pd2 structure, as listed in Alexandria via LeMat-Bulk.

volume = 22.34 A^3/atom
DFT formation energy = -1.5 eV/f.u.
polymorph energy (0 for the lowest one) = 0 meV/atom

a = 4.7844 Å, b = 4.7844 Å, c = 5.6357 Å
α = 90.01°, β = 90.01°, γ = 59.96°
Site moments in Bohr magnetons follow the coordinates.
Atoms (fractional coordinates):
Pu 0.5000 0.0000 0.0000  5.21
Cd 0.8334 0.3334 0.6406  0.01
Cd 0.1666 0.6666 0.3594  0.01
Pd 0.8332 0.3332 0.1544  -0.04
Pd 0.1668 0.6668 0.8456  -0.04